Entry 1:
The following is a DFT calculation (PBE) of crystalline Ga3SbCl at its relaxed geometry.

Calculated values
- formation energy without anion corrections (eV/atom) = 0.226
- SG = Pm-3m
- total energy (eV per cell) = -13.92
- relative energy among the computed polymorphs (eV per atom) = 0.000

Unit cell a=5.2349 b=5.2349 c=5.2349 alpha=90.00 beta=90.00 gamma=90.00
Element x y z (fractional)
Ga1 0.0000 0.5000 0.0000
Sb1 0.5000 0.5000 0.5000
Ga2 0.5000 0.0000 0.0000
Cl1 0.0000 0.0000 0.0000
Ga3 0.0000 0.0000 0.5000

=====

Entry 2:
The following is a DFT calculation (PBE) of crystalline EuLu2Bi at its relaxed geometry.

Calculated values
- energy of formation from the pure elements (meV/atom) = -273
- SG = P4/mmm
- total energy (eV per cell) = -24.29

Unit cell a=4.9207 b=4.8908 c=4.8908 alpha=90.00 beta=90.00 gamma=90.00
Element x y z (fractional)
Lu1 0.0000 0.5000 0.0000
Eu1 0.5000 0.5000 0.5000
Lu2 0.0000 0.0000 0.5000
Bi1 0.5000 0.0000 0.0000

=====

Entry 3:
The following is a DFT calculation (PBE) of crystalline Li2WS4 at its relaxed geometry.

Calculated values
- formation energy without anion corrections (eV/atom) = -0.855
- SG = P-42m
- total energy (eV per cell) = -39.28
- relative energy among the computed polymorphs (eV per atom) = 0.002

Unit cell a=6.0653 b=6.0653 c=5.8145 alpha=90.00 beta=90.00 gamma=90.00
Element x y z (fractional)
S1 0.2130 0.2130 0.2143
W1 0.0000 0.0000 0.0000
S2 0.7870 0.2130 0.7857
Li1 0.5000 0.0000 0.0000
S3 0.2130 0.7870 0.7857
S4 0.7870 0.7870 0.2143
Li2 0.0000 0.5000 0.0000

=====

Among the records above, which one has the highest total energy?
Ga3SbCl

=====

Copy entry 1 word for word.
The following is a DFT calculation (PBE) of crystalline Ga3SbCl at its relaxed geometry.

Calculated values
- formation energy without anion corrections (eV/atom) = 0.226
- SG = Pm-3m
- total energy (eV per cell) = -13.92
- relative energy among the computed polymorphs (eV per atom) = 0.000

Unit cell a=5.2349 b=5.2349 c=5.2349 alpha=90.00 beta=90.00 gamma=90.00
Element x y z (fractional)
Ga1 0.0000 0.5000 0.0000
Sb1 0.5000 0.5000 0.5000
Ga2 0.5000 0.0000 0.0000
Cl1 0.0000 0.0000 0.0000
Ga3 0.0000 0.0000 0.5000

=====

The lowest total energy belongs to which entry?
Li2WS4